1.
# Tb4PmHg2

An optimized crystal structure of Tb4PmHg2 (PBE, Alexandria).

As for the final energy: -24.5 eV/f.u. The energy above the lowest structure with this stoichiometry is 0.0000 eV/atom.

The structure belongs to space group C2/m (No. 12); the cell edges are 17.6591, 3.5729 and 15.4266 Å and the angles 90.00°, 116.94° and 90.00°. The asymmetric unit holds Tb at (0.0319, 0.0000, 0.1539), Tb at (0.1540, 0.5000, 0.8798), Tb at (0.1760, 0.0000, 0.5244), Tb at (0.2332, 0.5000, 0.2240), Pm at (0.0406, 0.0000, 0.6442), Hg at (0.1188, 0.5000, 0.3397) and Hg at (0.1417, 0.0000, 0.0407).

2.
# YCoSe2

An optimized crystal structure of YCoSe2 (PBE, Alexandria).

As for the final energy: -24.0 eV/f.u. For the formation energy (no corrections), the calculation gives -872.8 meV/atom.

The structure belongs to space group R3m (No. 160, hexagonal axes); the cell edges are 3.9905, 3.9905 and 20.6584 Å and the angles 90.00°, 90.00° and 120.00°. The asymmetric unit holds Y at (0.0000, 0.0000, 0.0000), Co at (0.0000, 0.0000, 0.2242), Se at (0.0000, 0.0000, 0.5630) and Se at (0.0000, 0.0000, 0.7424).

3.
# Mg3As5

An optimized crystal structure of Mg3As5 (PBE, Alexandria).

As for the final energy: -29.8 eV/f.u. The energy above the lowest structure with this stoichiometry is 0.0000 eV/atom.

The structure belongs to space group Cm (No. 8); the cell edges are 5.7826, 15.1746 and 8.3881 Å and the angles 90.00°, 105.25° and 90.00°. The asymmetric unit holds Mg at (0.0000, 0.0000, 0.0000), Mg at (0.0582, 0.5000, 0.3483), Mg at (0.1398, 0.3363, 0.7779), Mg at (0.3292, 0.3079, 0.2287), As at (0.0999, 0.1881, 0.9968), As at (0.1863, 0.0955, 0.4086), As at (0.1940, 0.0000, 0.6485), As at (0.2711, 0.5000, 0.6760), As at (0.2743, 0.2440, 0.5191) and As at (0.4695, 0.0901, 0.0346).

4.
# BiPtF

An optimized crystal structure of BiPtF (PBE, Alexandria).

As for the final energy: -14.2 eV/f.u. For the formation energy (no corrections), the calculation gives -790.4 meV/atom.

The structure belongs to space group P2_1/c (No. 14); the cell edges are 7.2032, 5.4110 and 6.7880 Å and the angles 90.00°, 111.91° and 90.00°. The asymmetric unit holds Bi at (0.1636, 0.9997, 0.3652), Pt at (0.2443, 0.0000, 0.7915) and F at (0.4235, 0.0029, 0.1499).